Below is a relaxed structure of V2P2O9, with properties calculated at the PBE with a Hubbard U level.

Structure (POSCAR):
```
V2P2O9
1.0
8.5439 0.0000 0.0000
0.0000 9.6946 0.0000
0.0000 0.0000 7.4992
V P O
8 8 36
Direct
0.1919 0.0025 0.0291 V
0.1919 0.9975 0.5291 V
0.3081 0.4975 0.5291 V
0.3081 0.5025 0.0291 V
0.6919 0.4975 0.9709 V
0.6919 0.5025 0.4709 V
0.8081 0.0025 0.4709 V
0.8081 0.9975 0.9709 V
0.0015 0.2978 0.9574 P
0.0015 0.7022 0.4574 P
0.4985 0.2022 0.4574 P
0.4985 0.7978 0.9574 P
0.5015 0.2022 0.0426 P
0.5015 0.7978 0.5426 P
0.9985 0.2978 0.5426 P
0.9985 0.7022 0.0426 P
0.0004 0.1371 0.5229 O
0.9996 0.1371 0.9771 O
0.0000 0.3326 0.7500 O
0.0000 0.6674 0.2500 O
0.0004 0.8629 0.0229 O
0.9996 0.8629 0.4771 O
0.1452 0.3615 0.4648 O
0.1452 0.6385 0.9648 O
0.1527 0.3528 0.0343 O
0.1527 0.6472 0.5343 O
0.1822 0.0261 0.2507 O
0.1822 0.9739 0.7507 O
0.3178 0.4739 0.7507 O
0.3178 0.5261 0.2507 O
0.3473 0.1472 0.5343 O
0.3473 0.8528 0.0343 O
0.3548 0.1385 0.9648 O
0.3548 0.8615 0.4648 O
0.5000 0.1674 0.2500 O
0.4996 0.3629 0.0229 O
0.5004 0.3629 0.4771 O
0.4996 0.6371 0.5229 O
0.5004 0.6371 0.9771 O
0.5000 0.8326 0.7500 O
0.6452 0.1385 0.5352 O
0.6452 0.8615 0.0352 O
0.6527 0.1472 0.9657 O
0.6527 0.8528 0.4657 O
0.6822 0.4739 0.7493 O
0.6822 0.5261 0.2493 O
0.8178 0.0261 0.2493 O
0.8178 0.9739 0.7493 O
0.8473 0.3528 0.4657 O
0.8473 0.6472 0.9657 O
0.8548 0.3615 0.0352 O
0.8548 0.6385 0.5352 O
```

Results
Energy above the most stable polymorph in this dataset   0.0 meV/atom